1.
The following is a PBE calculation of a relaxed structure of PmSm3Er, from the Alexandria database.

Unit cell a=6.332 b=6.852 c=9.337 alpha=108.37 beta=90.05 gamma=117.49
Sites, in units of the cell vectors:
Pm: 0.032 0.399 0.152
Pm: 0.968 0.601 0.848
Sm: 0.167 0.001 0.249
Sm: 0.233 0.802 0.548
Sm: 0.437 0.202 0.948
Sm: 0.563 0.798 0.052
Sm: 0.767 0.198 0.452
Sm: 0.833 0.999 0.751
Er: 0.366 0.402 0.648
Er: 0.634 0.598 0.352

## Properties
Offset from the most stable computed form: 0 kJ/mol of formula units
Symmetry: No. 2
Calculated total energy: -4.6704 eV per atom
D(E_F): 17.06 states/eV/cell

2.
The following is a PBE calculation of a relaxed structure of PmSmEr4, from the Alexandria database.

Unit cell a=3.553 b=5.011 c=10.642 alpha=90.00 beta=90.28 gamma=90.00
Sites, in units of the cell vectors:
Pm: 0.000 0.000 0.000
Sm: 0.500 0.500 0.500
Er: 0.000 0.000 0.333
Er: 0.000 0.000 0.667
Er: 0.500 0.500 0.168
Er: 0.500 0.500 0.832

## Properties
Offset from the most stable computed form: 0 kJ/mol of formula units
Symmetry: No. 10
Calculated total energy: -4.6015 eV per atom
D(E_F): 8.16 states/eV/cell

3.
The following is a PBE calculation of a relaxed structure of PmSm6Er12, from the Alexandria database.

Unit cell a=8.811 b=8.811 c=8.811 alpha=99.58 beta=99.58 gamma=99.58
Sites, in units of the cell vectors:
Pm: 0.000 0.000 0.000
Sm: 0.212 0.212 0.742
Sm: 0.212 0.742 0.212
Sm: 0.258 0.788 0.788
Sm: 0.742 0.212 0.212
Sm: 0.788 0.258 0.788
Sm: 0.788 0.788 0.258
Er: 0.117 0.500 0.883
Er: 0.117 0.883 0.500
Er: 0.178 0.465 0.465
Er: 0.465 0.178 0.465
Er: 0.465 0.465 0.178
Er: 0.500 0.117 0.883
Er: 0.500 0.883 0.117
Er: 0.535 0.535 0.822
Er: 0.535 0.822 0.535
Er: 0.822 0.535 0.535
Er: 0.883 0.117 0.500
Er: 0.883 0.500 0.117

## Properties
Offset from the most stable computed form: 820 kJ/mol of formula units
Symmetry: No. 166
Calculated total energy: -4.1558 eV per atom
D(E_F): 26.75 states/eV/cell

4.
The following is a PBE calculation of a relaxed structure of Pm6SmEr6, from the Alexandria database.

Unit cell a=6.711 b=6.711 c=11.393 alpha=90.00 beta=90.00 gamma=120.00
Sites, in units of the cell vectors:
Pm: 0.000 0.000 0.155
Pm: 0.000 0.000 0.845
Pm: 0.333 0.667 0.000
Pm: 0.333 0.667 0.500
Pm: 0.667 0.333 0.000
Pm: 0.667 0.333 0.500
Sm: 0.000 0.000 0.500
Er: 0.000 0.500 0.254
Er: 0.000 0.500 0.746
Er: 0.500 0.000 0.254
Er: 0.500 0.000 0.746
Er: 0.500 0.500 0.254
Er: 0.500 0.500 0.746

## Properties
Symmetry: No. 191
Calculated total energy: -4.4000 eV per atom
D(E_F): 27.66 states/eV/cell

5.
The following is a PBE calculation of a relaxed structure of Pm12Sm5Er3, from the Alexandria database.

Unit cell a=16.281 b=16.281 c=16.281 alpha=109.47 beta=109.47 gamma=109.47
Sites, in units of the cell vectors:
Pm: 0.063 0.637 0.407
Pm: 0.063 0.926 0.656
Pm: 0.074 0.231 0.137
Pm: 0.074 0.344 0.937
Pm: 0.093 0.731 0.656
Pm: 0.093 0.863 0.437
Pm: 0.137 0.074 0.231
Pm: 0.137 0.563 0.907
Pm: 0.156 0.231 0.593
Pm: 0.156 0.426 0.563
Pm: 0.231 0.137 0.074
Pm: 0.231 0.593 0.156
Pm: 0.269 0.344 0.907
Pm: 0.269 0.426 0.363
Pm: 0.344 0.907 0.269
Pm: 0.344 0.937 0.074
Pm: 0.363 0.269 0.426
Pm: 0.363 0.593 0.937
Pm: 0.407 0.063 0.637
Pm: 0.407 0.844 0.769
Pm: 0.426 0.363 0.269
Pm: 0.426 0.563 0.156
Pm: 0.437 0.093 0.863
Pm: 0.437 0.844 0.574
Pm: 0.563 0.156 0.426
Pm: 0.563 0.907 0.137
Pm: 0.574 0.437 0.844
Pm: 0.574 0.637 0.731
Pm: 0.593 0.156 0.231
Pm: 0.593 0.937 0.363
Pm: 0.637 0.407 0.063
Pm: 0.637 0.731 0.574
Pm: 0.656 0.063 0.926
Pm: 0.656 0.093 0.731
Pm: 0.731 0.574 0.637
Pm: 0.731 0.656 0.093
Pm: 0.769 0.407 0.844
Pm: 0.769 0.863 0.926
Pm: 0.844 0.574 0.437
Pm: 0.844 0.769 0.407
Pm: 0.863 0.437 0.093
Pm: 0.863 0.926 0.769
Pm: 0.907 0.137 0.563
Pm: 0.907 0.269 0.344
Pm: 0.926 0.656 0.063
Pm: 0.926 0.769 0.863
Pm: 0.937 0.074 0.344
Pm: 0.937 0.363 0.593
Sm: 0.000 0.000 0.000
Sm: 0.000 0.000 0.500
Sm: 0.000 0.500 0.000
Sm: 0.000 0.500 0.500
Sm: 0.125 0.750 0.875
Sm: 0.125 0.875 0.250
Sm: 0.250 0.125 0.875
Sm: 0.250 0.625 0.375
Sm: 0.375 0.250 0.625
Sm: 0.375 0.625 0.750
Sm: 0.500 0.000 0.000
Sm: 0.500 0.000 0.500
Sm: 0.500 0.500 0.000
Sm: 0.500 0.500 0.500
Sm: 0.625 0.375 0.250
Sm: 0.625 0.750 0.375
Sm: 0.750 0.375 0.625
Sm: 0.750 0.875 0.125
Sm: 0.875 0.125 0.750
Sm: 0.875 0.250 0.125
Er: 0.125 0.250 0.375
Er: 0.125 0.375 0.750
Er: 0.250 0.375 0.125
Er: 0.250 0.875 0.625
Er: 0.375 0.125 0.250
Er: 0.375 0.750 0.125
Er: 0.625 0.250 0.875
Er: 0.625 0.875 0.750
Er: 0.750 0.125 0.375
Er: 0.750 0.625 0.875
Er: 0.875 0.625 0.250
Er: 0.875 0.750 0.625

## Properties
Symmetry: No. 230
Calculated total energy: -3.7249 eV per atom
D(E_F): 159.05 states/eV/cell

6.
The following is a PBE calculation of a relaxed structure of Pm4Sm4Er, from the Alexandria database.

Unit cell a=8.105 b=8.105 c=8.105 alpha=95.74 beta=95.74 gamma=143.14
Sites, in units of the cell vectors:
Pm: 0.000 0.332 0.332
Pm: 0.000 0.668 0.668
Pm: 0.332 0.000 0.332
Pm: 0.668 0.000 0.668
Sm: 0.334 0.334 0.668
Sm: 0.334 0.666 0.000
Sm: 0.666 0.334 0.000
Sm: 0.666 0.666 0.332
Er: 0.000 0.000 0.000

## Properties
Symmetry: No. 139
Calculated total energy: -4.7002 eV per atom
D(E_F): 13.56 states/eV/cell

7.
The following is a PBE calculation of a relaxed structure of PmSm7Er3, from the Alexandria database.

Unit cell a=10.169 b=10.169 c=12.423 alpha=113.79 beta=113.79 gamma=41.46
Sites, in units of the cell vectors:
Pm: 0.000 0.000 0.000
Pm: 0.000 0.000 0.500
Sm: 0.080 0.583 0.470
Sm: 0.081 0.581 0.969
Sm: 0.243 0.757 0.750
Sm: 0.331 0.344 0.224
Sm: 0.344 0.331 0.724
Sm: 0.417 0.920 0.030
Sm: 0.419 0.919 0.531
Sm: 0.581 0.081 0.469
Sm: 0.583 0.080 0.970
Sm: 0.656 0.669 0.276
Sm: 0.669 0.656 0.776
Sm: 0.757 0.243 0.250
Sm: 0.919 0.419 0.031
Sm: 0.920 0.417 0.530
Er: 0.165 0.171 0.277
Er: 0.171 0.165 0.777
Er: 0.500 0.500 0.000
Er: 0.500 0.500 0.500
Er: 0.829 0.835 0.223
Er: 0.835 0.829 0.723

## Properties
Offset from the most stable computed form: 0 kJ/mol of formula units
Symmetry: No. 15
Calculated total energy: -4.5026 eV per atom
D(E_F): 34.77 states/eV/cell

8.
The following is a PBE calculation of a relaxed structure of PmSm12Er3, from the Alexandria database.

Unit cell a=5.101 b=5.101 c=20.369 alpha=90.00 beta=90.00 gamma=90.00
Sites, in units of the cell vectors:
Pm: 0.000 0.000 0.000
Sm: 0.000 0.500 0.127
Sm: 0.000 0.500 0.376
Sm: 0.000 0.500 0.624
Sm: 0.000 0.500 0.873
Sm: 0.500 0.000 0.127
Sm: 0.500 0.000 0.376
Sm: 0.500 0.000 0.624
Sm: 0.500 0.000 0.873
Sm: 0.500 0.500 0.000
Sm: 0.500 0.500 0.252
Sm: 0.500 0.500 0.500
Sm: 0.500 0.500 0.748
Er: 0.000 0.000 0.251
Er: 0.000 0.000 0.500
Er: 0.000 0.000 0.749

## Properties
Symmetry: No. 123
Calculated total energy: -4.6750 eV per atom
D(E_F): 23.51 states/eV/cell

9.
The following is a PBE calculation of a relaxed structure of PmSm3Er, from the Alexandria database.

Unit cell a=8.041 b=8.041 c=6.193 alpha=90.00 beta=90.00 gamma=119.86
Sites, in units of the cell vectors:
Pm: 0.201 0.799 0.750
Pm: 0.799 0.201 0.250
Sm: 0.000 0.000 0.000
Sm: 0.000 0.000 0.500
Sm: 0.202 0.401 0.750
Sm: 0.401 0.202 0.250
Sm: 0.599 0.798 0.750
Sm: 0.798 0.599 0.250
Er: 0.335 0.665 0.250
Er: 0.665 0.335 0.750

## Properties
Offset from the most stable computed form: 152 kJ/mol of formula units
Symmetry: No. 63
Calculated total energy: -4.3560 eV per atom
D(E_F): 9.94 states/eV/cell

10.
The following is a PBE calculation of a relaxed structure of Pm7SmEr3, from the Alexandria database.

Unit cell a=7.177 b=7.177 c=8.652 alpha=90.00 beta=90.00 gamma=120.00
Sites, in units of the cell vectors:
Pm: 0.000 0.000 0.000
Pm: 0.001 0.501 0.015
Pm: 0.332 0.166 0.667
Pm: 0.499 0.501 0.015
Pm: 0.499 0.999 0.015
Pm: 0.834 0.166 0.667
Pm: 0.834 0.668 0.667
Sm: 0.333 0.667 0.681
Er: 0.167 0.334 0.341
Er: 0.167 0.833 0.341
Er: 0.666 0.833 0.341

## Properties
Offset from the most stable computed form: 11 kJ/mol of formula units
Symmetry: No. 156
Calculated total energy: -4.5084 eV per atom
D(E_F): 17.55 states/eV/cell

11.
The following is a PBE calculation of a relaxed structure of Pm4Sm3Er5, from the Alexandria database.

Unit cell a=6.208 b=7.165 c=8.774 alpha=90.08 beta=90.05 gamma=90.10
Sites, in units of the cell vectors:
Pm: 0.168 0.249 0.168
Pm: 0.331 0.500 0.830
Pm: 0.669 0.500 0.170
Pm: 0.832 0.751 0.832
Sm: 0.000 0.000 0.500
Sm: 0.168 0.751 0.168
Sm: 0.832 0.249 0.832
Er: 0.000 0.500 0.500
Er: 0.334 0.000 0.830
Er: 0.500 0.249 0.500
Er: 0.500 0.751 0.500
Er: 0.666 0.000 0.170

## Properties
Offset from the most stable computed form: 0 kJ/mol of formula units
Symmetry: No. 2
Calculated total energy: -4.6480 eV per atom
D(E_F): 15.30 states/eV/cell

12.
The following is a PBE calculation of a relaxed structure of Pm2SmEr4, from the Alexandria database.

Unit cell a=7.692 b=7.692 c=8.160 alpha=90.00 beta=90.00 gamma=90.00
Sites, in units of the cell vectors:
Pm: 0.000 0.000 0.000
Pm: 0.000 0.000 0.500
Pm: 0.000 0.500 0.000
Pm: 0.500 0.000 0.000
Sm: 0.500 0.500 0.000
Sm: 0.500 0.500 0.500
Er: 0.250 0.250 0.280
Er: 0.250 0.250 0.720
Er: 0.250 0.750 0.280
Er: 0.250 0.750 0.720
Er: 0.750 0.250 0.280
Er: 0.750 0.250 0.720
Er: 0.750 0.750 0.280
Er: 0.750 0.750 0.720

## Properties
Offset from the most stable computed form: 34 kJ/mol of formula units
Symmetry: No. 123
Calculated total energy: -4.3210 eV per atom
D(E_F): 24.56 states/eV/cell

no.,calculated formation energy (eV/atom)
1,0.024
2,0.019
3,0.466
4,0.262
5,0.990
6,0.016
7,0.177
8,0.017
9,0.338
10,0.188
11,0.017
12,0.318